Crystalline Zr2MnBF at its relaxed geometry. Source: Alexandria via LeMat-Bulk, functional GGA+U.

Uncorrected energy ... -31.81 eV/f.u.
DOS(E_F) ... 4.21 states/eV/f.u.
Calculated volume ... 91.67 Å³ per cell

Cell lengths 4.733, 4.733, 4.092 Å; angles 90.00, 90.00, 90.00 degrees
Space group P4/mmm (No. 123)
Asymmetric unit:
Zr (0.000, 0.500, 0.000) (multiplicity 2)
Mn (0.000, 0.000, 0.500) (multiplicity 1)
B (0.500, 0.500, 0.000) (multiplicity 1)
F (0.500, 0.500, 0.500) (multiplicity 1)